First-principles (PBE) data for an optimized crystal structure of AlReAs2, as listed in Alexandria.

```
4
Lattice="4.3061 0.0000 0.0000 0.0000 3.3697 0.0208 0.0000 0.9847 4.8166" Properties=species:S:1:pos:R:3 pbc="T T T"
As 0.0000 1.5276 4.8093
As 0.0000 1.6343 2.4260
Re 2.1530 1.0886 1.2094
Al 2.1530 3.2658 3.6281
```

## Properties
The value obtained for the total moment is 0.00 μB per formula unit. The value obtained for the energy of formation is 1.268 eV/f.u. As for the crystal system: monoclinic. The density of states at the Fermi level comes out at 0.3726 states/eV per atom. The calculation puts the final energy at -6.055 eV/atom.